First-principles (PBE-GGA) data for an optimized crystal structure of Tb3DyEr6Tm2, as listed in Alexandria. Values from VASP.

The structure in Quantum ESPRESSO input format:
```
&SYSTEM
  ibrav = 0, nat = 12, ntyp = 4
/
ATOMIC_SPECIES
Tb 158.93 Tb.upf
Dy 162.50 Dy.upf
Er 167.26 Er.upf
Tm 168.93 Tm.upf
ATOMIC_POSITIONS crystal
Tb 0.167 0.833 0.500
Tb 0.833 0.167 0.500
Tb 0.500 0.500 0.500
Dy 0.000 0.000 0.000
Er 0.917 0.584 0.752
Er 0.749 0.749 0.248
Er 0.083 0.416 0.248
Er 0.584 0.917 0.752
Er 0.251 0.251 0.752
Er 0.416 0.083 0.248
Tm 0.333 0.667 0.000
Tm 0.667 0.333 0.000
CELL_PARAMETERS angstrom
-2.456 -2.267 -5.079
5.867 -1.001 1.242
-3.957 -8.481 6.909
```

Calculated values
Spin magnetization = 0.0 μB per cell
Energy relative to the elements = 0.021 eV/atom
Space-group type = No. 12

***

First-principles (PBE-GGA) data for an optimized crystal structure of ReSnSe2, as listed in Alexandria. Values from VASP.

The structure in Quantum ESPRESSO input format:
```
&SYSTEM
  ibrav = 0, nat = 4, ntyp = 3
/
ATOMIC_SPECIES
Re 186.21 Re.upf
Sn 118.71 Sn.upf
Se 78.96 Se.upf
ATOMIC_POSITIONS crystal
Re 0.500 0.500 0.500
Sn 0.000 0.000 0.000
Se 0.893 0.893 0.893
Se 0.107 0.107 0.107
CELL_PARAMETERS angstrom
1.900 0.000 9.614
-0.950 1.646 9.614
-0.950 -1.646 9.614
```

Calculated values
Formation energy from raw total energies = 0.232 eV per formula unit
Spin magnetization = 0.0 μB per cell
Space-group type = No. 166

***

First-principles (PBE-GGA) data for an optimized crystal structure of Tm2Al4AgAu3, as listed in Alexandria. Values from VASP.

The structure in Quantum ESPRESSO input format:
```
&SYSTEM
  ibrav = 0, nat = 10, ntyp = 4
/
ATOMIC_SPECIES
Tm 168.93 Tm.upf
Al 26.98 Al.upf
Ag 107.87 Ag.upf
Au 196.97 Au.upf
ATOMIC_POSITIONS crystal
Tm 0.500 0.000 0.250
Tm 0.000 0.500 0.750
Al 0.500 0.500 0.000
Al 0.000 0.000 0.000
Al 0.500 0.000 0.636
Al 0.000 0.500 0.364
Ag 0.500 0.500 0.500
Au 0.000 0.000 0.500
Au 0.500 0.000 0.865
Au 0.000 0.500 0.135
CELL_PARAMETERS angstrom
4.270 0.000 0.000
0.000 4.270 0.000
0.000 0.000 10.728
```

Calculated values
Spin magnetization = 0.0 μB per cell
Energy relative to the elements = -0.595 eV/atom
Space-group type = No. 115

***

First-principles (PBE-GGA) data for an optimized crystal structure of K2SnTePt, as listed in Alexandria. Values from VASP.

The structure in Quantum ESPRESSO input format:
```
&SYSTEM
  ibrav = 0, nat = 5, ntyp = 4
/
ATOMIC_SPECIES
K 39.10 K.upf
Te 127.60 Te.upf
Sn 118.71 Sn.upf
Pt 195.08 Pt.upf
ATOMIC_POSITIONS crystal
K 0.000 0.000 0.500
K 0.500 0.000 0.000
Te 0.000 0.500 0.000
Sn 0.000 0.000 0.000
Pt 0.500 0.500 0.500
CELL_PARAMETERS angstrom
6.805 0.000 0.000
0.000 5.530 0.000
0.000 0.000 6.805
```

Calculated values
Formation energy from raw total energies = 2.766 eV per formula unit
Spin magnetization = 0.7 μB per cell
Space-group type = No. 123

***

First-principles (PBE-GGA) data for an optimized crystal structure of ThMg2Cd10, as listed in Alexandria. Values from VASP.

The structure in Quantum ESPRESSO input format:
```
&SYSTEM
  ibrav = 0, nat = 13, ntyp = 3
/
ATOMIC_SPECIES
Th 232.04 Th.upf
Mg 24.30 Mg.upf
Cd 112.41 Cd.upf
ATOMIC_POSITIONS crystal
Th 0.000 0.000 0.000
Mg 0.000 0.500 0.000
Mg 0.500 0.500 0.000
Cd 0.349 0.647 0.655
Cd 0.651 0.353 0.345
Cd 0.996 0.353 0.655
Cd 0.004 0.647 0.345
Cd 0.000 0.000 0.500
Cd 0.500 0.000 0.500
Cd 0.288 0.214 0.211
Cd 0.712 0.786 0.789
Cd 0.502 0.786 0.211
Cd 0.498 0.214 0.789
CELL_PARAMETERS angstrom
5.585 0.000 2.277
2.793 7.009 1.139
0.158 0.000 7.601
```

Calculated values
Spin magnetization = 0.0 μB per cell
Energy relative to the elements = -0.092 eV/atom
Space-group type = No. 69

***

First-principles (PBE-GGA) data for an optimized crystal structure of LiFeI3, as listed in Alexandria. Values from VASP.

The structure in Quantum ESPRESSO input format:
```
&SYSTEM
  ibrav = 0, nat = 10, ntyp = 3
/
ATOMIC_SPECIES
Li 6.94 Li.upf
Fe 55.84 Fe.upf
I 126.90 I.upf
ATOMIC_POSITIONS crystal
Li 0.250 0.027 0.634
Li 0.750 0.394 0.366
Fe 0.250 0.781 0.260
Fe 0.750 0.521 0.740
I 0.750 0.889 0.745
I 0.750 0.603 0.159
I 0.750 0.257 0.558
I 0.250 0.444 0.841
I 0.250 0.144 0.255
I 0.250 0.699 0.442
CELL_PARAMETERS angstrom
4.262 0.000 0.000
0.000 6.833 -1.962
0.000 0.122 13.301
```

Calculated values
Formation energy from raw total energies = -2.572 eV per formula unit
Spin magnetization = 8.0 μB per cell
Polymorph energy (0 for the lowest one) = 0 meV per atom
Space-group type = No. 40

***

It is found that the E_tot values, taken in the order of the records, are -0.334 -0.426 -0.313 -0.185 -0.118 -0.259 Ry per atom.